[1]
{"formula": "YH7Ru2", "functional": "GGA-PBE", "state": "relaxed", "lattice": [[-2.563, 1.077, 2.215], [-3.082, -3.527, -1.850], [2.705, -1.630, 3.923]], "species": ["H", "H", "H", "H", "H", "H", "H", "Y", "Ru", "Ru"], "fractional_positions": [[0.500, 0.933, 0.670], [0.500, 0.500, 0.500], [0.500, 0.067, 0.330], [0.500, 0.670, 0.933], [0.000, 0.294, 0.706], [0.000, 0.706, 0.294], [0.500, 0.330, 0.067], [0.000, 0.000, 0.000], [0.500, 0.704, 0.296], [0.500, 0.296, 0.704]], "magmom_total_mub_per_fu": 0.0, "final_energy_ev_per_cell": -50.35}



[2]
{"formula": "Pm3N", "functional": "GGA-PBE", "state": "relaxed", "lattice": [[-2.245, 3.944, 0.818], [-3.181, -0.767, -5.033], [-3.211, -2.322, 2.383]], "species": ["Pm", "Pm", "Pm", "N"], "fractional_positions": [[0.500, 0.494, 0.500], [0.000, 0.980, 0.500], [0.500, 0.982, 0.000], [0.000, 0.877, 0.000]], "raw_formation_energy_ev_per_atom": 0.06, "magmom_total_mub_per_fu": 0.0, "final_energy_ev_per_cell": -22.32, "relative_energy_mev_per_atom": 706}



[3]
{"formula": "In2ReRh", "functional": "GGA-PBE", "state": "relaxed", "lattice": [[-0.869, 2.583, -1.731], [-2.553, 0.433, 1.928], [3.638, 3.870, 3.949]], "species": ["Rh", "Re", "In", "In"], "fractional_positions": [[0.500, 0.500, 0.500], [0.500, 0.500, 0.000], [0.000, 0.000, 0.255], [0.000, 0.000, 0.745]], "magmom_total_mub_per_fu": 0.0, "final_energy_ev_per_cell": -24.32, "relative_energy_mev_per_atom": 92}



[4]
{"formula": "CeNbAs2Rh5", "functional": "GGA-PBE", "state": "relaxed", "lattice": [[4.023, 0.000, 0.000], [0.000, 4.023, 0.000], [0.000, 0.000, 10.888]], "species": ["Rh", "Rh", "Rh", "Rh", "Rh", "Nb", "As", "As", "Ce"], "fractional_positions": [[0.500, 0.000, 0.845], [0.000, 0.500, 0.845], [0.500, 0.000, 0.155], [0.000, 0.500, 0.155], [0.500, 0.500, 0.500], [0.000, 0.000, 0.000], [0.500, 0.500, 0.279], [0.500, 0.500, 0.721], [0.000, 0.000, 0.500]], "magmom_total_mub_per_fu": 0.8, "final_energy_ev_per_cell": -66.47}



[5]
{"formula": "Sc5Ir3", "functional": "GGA-PBE", "state": "relaxed", "lattice": [[-0.393, -5.608, 0.744], [7.128, -3.283, 0.630], [-0.389, -1.825, 7.649]], "species": ["Ir", "Ir", "Ir", "Ir", "Ir", "Ir", "Sc", "Sc", "Sc", "Sc", "Sc", "Sc", "Sc", "Sc", "Sc", "Sc"], "fractional_positions": [[0.841, 0.500, 0.818], [0.250, 0.000, 0.000], [0.659, 0.182, 0.500], [0.341, 0.818, 0.500], [0.159, 0.500, 0.182], [0.750, 0.000, 0.000], [0.921, 0.866, 0.292], [0.079, 0.134, 0.708], [0.250, 0.500, 0.500], [0.787, 0.292, 0.134], [0.579, 0.708, 0.134], [0.713, 0.866, 0.708], [0.750, 0.500, 0.500], [0.421, 0.292, 0.866], [0.287, 0.134, 0.292], [0.213, 0.708, 0.866]], "magmom_total_mub_per_fu": 0.0, "final_energy_ev_per_cell": -129.36, "relative_energy_mev_per_atom": 40}



[6]
{"formula": "Li2Dy2InPd5", "functional": "GGA-PBE", "state": "relaxed", "lattice": [[3.701, 0.000, 0.000], [0.000, 9.643, 0.000], [0.000, 0.000, 9.643]], "species": ["Pd", "Pd", "Pd", "Pd", "Pd", "Pd", "Pd", "Pd", "Pd", "Pd", "Dy", "Dy", "Dy", "Dy", "Li", "Li", "Li", "Li", "In", "In"], "fractional_positions": [[0.500, 0.210, 0.069], [0.500, 0.569, 0.710], [0.500, 0.931, 0.210], [0.500, 0.431, 0.290], [0.500, 0.069, 0.790], [0.500, 0.000, 0.500], [0.500, 0.500, 0.000], [0.500, 0.290, 0.569], [0.500, 0.790, 0.931], [0.500, 0.710, 0.431], [0.000, 0.323, 0.823], [0.000, 0.823, 0.677], [0.000, 0.677, 0.177], [0.000, 0.177, 0.323], [0.000, 0.120, 0.620], [0.000, 0.620, 0.880], [0.000, 0.880, 0.380], [0.000, 0.380, 0.120], [0.000, 0.500, 0.500], [0.000, 0.000, 0.000]], "magmom_total_mub_per_fu": 0.0, "final_energy_ev_per_cell": -97.23}



[7]
{"formula": "TaReHg", "functional": "GGA-PBE", "state": "relaxed", "lattice": [[7.459, -0.008, 0.006], [6.685, 2.790, 0.001], [0.774, -0.913, 2.644]], "species": ["Hg", "Re", "Ta"], "fractional_positions": [[0.999, 0.999, 0.001], [0.321, 0.321, 0.679], [0.679, 0.679, 0.321]], "magmom_total_mub_per_fu": 0.0, "final_energy_ev_per_cell": -23.44, "relative_energy_mev_per_atom": 99}



[8]
{"formula": "Li2CeHg", "functional": "GGA-PBE", "state": "relaxed", "lattice": [[-4.235, 2.420, 0.507], [-3.221, 0.107, -3.696], [-4.216, -2.481, 0.348]], "species": ["Li", "Li", "Ce", "Hg"], "fractional_positions": [[0.750, 0.750, 0.750], [0.250, 0.250, 0.250], [0.500, 0.500, 0.500], [0.000, 0.000, 0.000]], "magmom_total_mub_per_fu": 0.7, "final_energy_ev_per_cell": -10.31, "relative_energy_mev_per_atom": 0}



[9]
{"formula": "MgTi2Co2", "functional": "GGA-PBE", "state": "relaxed", "lattice": [[-1.659, 4.405, -5.335], [1.293, -5.192, -4.690], [-2.740, -0.831, 0.165]], "species": ["Ti", "Ti", "Ti", "Ti", "Co", "Co", "Co", "Co", "Mg", "Mg"], "fractional_positions": [[0.847, 0.347, 0.500], [0.153, 0.653, 0.500], [0.347, 0.153, 0.500], [0.653, 0.847, 0.500], [0.138, 0.362, 0.000], [0.862, 0.638, 0.000], [0.638, 0.138, 0.000], [0.362, 0.862, 0.000], [0.500, 0.500, 0.000], [0.000, 0.000, 0.000]], "magmom_total_mub_per_fu": 0.0, "final_energy_ev_per_cell": -65.72}



[10]
{"formula": "Sc3Te2N", "functional": "GGA-PBE", "state": "relaxed", "lattice": [[6.083, 0.000, 0.000], [0.000, 6.889, -0.027], [0.000, -2.903, 6.248]], "species": ["Te", "Te", "Te", "Te", "Sc", "Sc", "Sc", "Sc", "Sc", "Sc", "N", "N"], "fractional_positions": [[0.731, 0.504, 0.180], [0.731, 0.180, 0.504], [0.231, 0.820, 0.496], [0.231, 0.496, 0.820], [0.004, 0.138, 0.881], [0.345, 0.359, 0.359], [0.004, 0.881, 0.138], [0.845, 0.641, 0.641], [0.504, 0.862, 0.119], [0.504, 0.119, 0.862], [0.254, 0.086, 0.086], [0.754, 0.914, 0.914]], "raw_formation_energy_ev_per_atom": -1.26, "magmom_total_mub_per_fu": 0.0, "final_energy_ev_per_cell": -82.37}



[11]
{"formula": "Li2MgAs", "functional": "GGA-PBE", "state": "relaxed", "lattice": [[-0.068, 9.096, -2.269], [-1.677, 7.933, -4.705], [-3.160, 8.593, -2.014]], "species": ["Li", "Li", "As", "Mg"], "fractional_positions": [[0.249, 0.249, 0.249], [0.010, 0.010, 0.010], [0.747, 0.747, 0.747], [0.495, 0.495, 0.495]], "magmom_total_mub_per_fu": 0.0, "final_energy_ev_per_cell": -10.67, "relative_energy_mev_per_atom": 385}



[12]
{"formula": "Y3Ag", "functional": "GGA-PBE", "state": "relaxed", "lattice": [[6.080, 0.000, 0.000], [0.000, 6.080, 0.000], [0.000, 0.000, 6.080]], "species": ["Ag", "Ag", "Y", "Y", "Y", "Y", "Y", "Y"], "fractional_positions": [[0.000, 0.000, 0.000], [0.500, 0.500, 0.500], [0.500, 0.000, 0.750], [0.000, 0.250, 0.500], [0.500, 0.000, 0.250], [0.750, 0.500, 0.000], [0.000, 0.750, 0.500], [0.250, 0.500, 0.000]], "magmom_total_mub_per_fu": 0.0, "final_energy_ev_per_cell": -44.31, "relative_energy_mev_per_atom": 158}